Record 1
# AgRu

An optimized crystal structure of AgRu (PBE, the Alexandria database).

a b c (Å): 5.346 5.346 5.346
angles (deg): 90.00 90.00 90.00
Space group Fm-3m (No. 225)
Inequivalent atoms, fractional coordinates:
Ag (0.000, 0.000, 0.000) [4 per cell]
Ru (0.000, 0.000, 0.500) [4 per cell]

Output
energy relative to the elements = 35.9 kcal/mol of atoms
density of states at the Fermi level = 1.2906 states/eV per atom
volume = 38.2 Å³/f.u.
magnetic moment = 7.99 μB/cell


Record 2
# AgRu

An optimized crystal structure of AgRu (PBE, the Alexandria database).

a b c (Å): 5.901 5.901 5.901
angles (deg): 90.00 90.00 90.00
Space group F-43m (No. 216)
Inequivalent atoms, fractional coordinates:
Ag (0.000, 0.000, 0.000) [4 per cell]
Ru (0.250, 0.250, 0.250) [4 per cell]

Output
energy relative to the elements = 49.9 kcal/mol of atoms
density of states at the Fermi level = 1.2394 states/eV per atom
volume = 51.4 Å³/f.u.
magnetic moment = 8.97 μB/cell


Record 3
# AgRu5

An optimized crystal structure of AgRu5 (PBE, the Alexandria database).

a b c (Å): 4.385 2.757 14.366
angles (deg): 90.00 90.00 90.00
Space group Amm2 (No. 38)
Inequivalent atoms, fractional coordinates:
Ag (0.000, 0.000, 0.000) [2 per cell]
Ru (0.000, 0.000, 0.326) [2 per cell]
Ru (0.000, 0.000, 0.672) [2 per cell]
Ru (0.500, 0.000, 0.112) [2 per cell]
Ru (0.500, 0.000, 0.438) [2 per cell]
Ru (0.500, 0.000, 0.777) [2 per cell]

Output
energy above the most stable polymorph in this dataset = 18 meV/atom
energy relative to the elements = 6.7 kcal/mol of atoms
density of states at the Fermi level = 1.1214 states/eV per atom
volume = 86.8 Å³/f.u.
magnetic moment = 1.22 μB/cell


Record 4
# AgRu4

An optimized crystal structure of AgRu4 (PBE, the Alexandria database).

a b c (Å): 4.738 4.738 4.738
angles (deg): 90.00 90.00 90.00
Space group Pm-3m (No. 221)
Inequivalent atoms, fractional coordinates:
Ag (0.000, 0.000, 0.000) [1 per cell]
Ru (0.000, 0.000, 0.500) [3 per cell]
Ru (0.500, 0.500, 0.500) [1 per cell]

Output
energy above the most stable polymorph in this dataset = 2313 meV/atom
energy relative to the elements = 62.9 kcal/mol of atoms
density of states at the Fermi level = 1.7296 states/eV per atom
volume = 106.4 Å³/f.u.
magnetic moment = 7.74 μB/cell


Record 5
# AgRu2

An optimized crystal structure of AgRu2 (PBE, the Alexandria database).

a b c (Å): 6.228 6.228 5.060
angles (deg): 90.00 90.00 90.00
Space group I4/mcm (No. 140)
Inequivalent atoms, fractional coordinates:
Ag (0.000, 0.000, 0.250) [4 per cell]
Ru (0.128, 0.372, 0.000) [8 per cell]

Output
energy above the most stable polymorph in this dataset = 662 meV/atom
energy relative to the elements = 22.0 kcal/mol of atoms
density of states at the Fermi level = 1.1853 states/eV per atom
volume = 49.1 Å³/f.u.
magnetic moment = 0.00 μB/cell


Record 6
# AgRu

An optimized crystal structure of AgRu (PBE, the Alexandria database).

a b c (Å): 4.718 7.902 14.697
angles (deg): 90.00 90.00 90.00
Space group Fddd (No. 70, origin choice 2)
Inequivalent atoms, fractional coordinates:
Ag (0.125, 0.290, 0.125) [16 per cell]
Ru (0.125, 0.125, 0.542) [16 per cell]

Output
energy relative to the elements = 17.4 kcal/mol of atoms
density of states at the Fermi level = 1.3844 states/eV per atom
volume = 34.2 Å³/f.u.
magnetic moment = 4.13 μB/cell


Record 7
# AgRu5

An optimized crystal structure of AgRu5 (PBE, the Alexandria database).

a b c (Å): 5.0614 5.0614 4.4361
angles (deg): 90.00 90.00 120.00
Space group P6/mmm (No. 191)
Inequivalent atoms, fractional coordinates:
Ag (0.0000, 0.0000, 0.0000) [1 per cell]
Ru (0.0000, 0.5000, 0.5000) [3 per cell]
Ru (0.3333, 0.6667, 0.0000) [2 per cell]

Output
energy above the most stable polymorph in this dataset = 506 meV/atom
energy relative to the elements = 18.0 kcal/mol of atoms
density of states at the Fermi level = 1.6373 states/eV per atom
volume = 98.4 Å³/f.u.
magnetic moment = 3.54 μB/cell


Record 8
# Ag3Ru

An optimized crystal structure of Ag3Ru (PBE, the Alexandria database).

a b c (Å): 6.498 6.498 6.498
angles (deg): 90.00 90.00 90.00
Space group Fm-3m (No. 225)
Inequivalent atoms, fractional coordinates:
Ag (0.000, 0.000, 0.000) [4 per cell]
Ag (0.250, 0.250, 0.250) [8 per cell]
Ru (0.000, 0.000, 0.500) [4 per cell]

Output
energy relative to the elements = 12.9 kcal/mol of atoms
density of states at the Fermi level = 1.1226 states/eV per atom
volume = 68.6 Å³/f.u.
magnetic moment = 6.42 μB/cell


Record 9
# AgRu

An optimized crystal structure of AgRu (PBE, the Alexandria database).

a b c (Å): 5.543 10.462 4.502
angles (deg): 90.00 90.00 90.00
Space group Cmcm (No. 63)
Inequivalent atoms, fractional coordinates:
Ag (0.000, 0.159, 0.250) [4 per cell]
Ag (0.000, 0.302, 0.750) [4 per cell]
Ru (0.213, 0.442, 0.250) [8 per cell]

Output
energy relative to the elements = 12.1 kcal/mol of atoms
density of states at the Fermi level = 0.9276 states/eV per atom
volume = 32.6 Å³/f.u.
magnetic moment = 0.00 μB/cell


Record 10
# AgRu2

An optimized crystal structure of AgRu2 (PBE, the Alexandria database).

a b c (Å): 6.4406 6.4406 4.2931
angles (deg): 90.00 90.00 120.00
Space group P-62m (No. 189)
Inequivalent atoms, fractional coordinates:
Ag (0.0000, 0.0000, 0.0000) [1 per cell]
Ag (0.3333, 0.6667, 0.5000) [2 per cell]
Ru (0.0000, 0.2282, 0.5000) [3 per cell]
Ru (0.0000, 0.4553, 0.0000) [3 per cell]

Output
energy above the most stable polymorph in this dataset = 833 meV/atom
energy relative to the elements = 26.0 kcal/mol of atoms
density of states at the Fermi level = 1.4568 states/eV per atom
volume = 51.4 Å³/f.u.
magnetic moment = 2.26 μB/cell


Record 11
# AgRu2

An optimized crystal structure of AgRu2 (PBE, the Alexandria database).

a b c (Å): 2.754 14.974 4.435
angles (deg): 90.00 90.00 90.00
Space group Cmcm (No. 63)
Inequivalent atoms, fractional coordinates:
Ag (0.000, 0.218, 0.250) [4 per cell]
Ru (0.000, 0.097, 0.750) [4 per cell]
Ru (0.000, 0.451, 0.750) [4 per cell]

Output
energy above the most stable polymorph in this dataset = 4 meV/atom
energy relative to the elements = 6.9 kcal/mol of atoms
density of states at the Fermi level = 0.8581 states/eV per atom
volume = 45.7 Å³/f.u.
magnetic moment = 0.00 μB/cell


Record 12
# AgRu

An optimized crystal structure of AgRu (PBE, the Alexandria database).

a b c (Å): 7.977 7.977 4.243
angles (deg): 90.00 90.00 90.00
Space group I4/mmm (No. 139)
Inequivalent atoms, fractional coordinates:
Ag (0.000, 0.312, 0.000) [8 per cell]
Ru (0.154, 0.154, 0.500) [8 per cell]

Output
energy relative to the elements = 14.6 kcal/mol of atoms
density of states at the Fermi level = 1.1883 states/eV per atom
volume = 33.7 Å³/f.u.
magnetic moment = 0.00 μB/cell


Record 13
# AgRu2

An optimized crystal structure of AgRu2 (PBE, the Alexandria database).

a b c (Å): 2.7555 2.7555 6.9609
angles (deg): 90.00 90.00 120.00
Space group P-3m1 (No. 164)
Inequivalent atoms, fractional coordinates:
Ag (0.0000, 0.0000, 0.0000) [1 per cell]
Ru (0.3333, 0.6667, 0.6447) [2 per cell]

Output
energy above the most stable polymorph in this dataset = 0 meV/atom
energy relative to the elements = 6.8 kcal/mol of atoms
density of states at the Fermi level = 0.9813 states/eV per atom
volume = 45.8 Å³/f.u.
magnetic moment = 0.00 μB/cell


Record 14
# AgRu8

An optimized crystal structure of AgRu8 (PBE, the Alexandria database).

a b c (Å): 8.200 8.200 3.836
angles (deg): 90.00 90.00 90.00
Space group I4/mmm (No. 139)
Inequivalent atoms, fractional coordinates:
Ag (0.000, 0.000, 0.000) [2 per cell]
Ru (0.000, 0.341, 0.000) [8 per cell]
Ru (0.174, 0.174, 0.500) [8 per cell]

Output
energy relative to the elements = 5.2 kcal/mol of atoms
density of states at the Fermi level = 0.9922 states/eV per atom
volume = 128.9 Å³/f.u.
magnetic moment = 0.00 μB/cell


Record 15
# AgRu2

An optimized crystal structure of AgRu2 (PBE, the Alexandria database).

a b c (Å): 10.055 2.754 6.804
angles (deg): 90.00 104.43 90.00
Space group C2/m (No. 12)
Inequivalent atoms, fractional coordinates:
Ag (0.137, 0.000, 0.029) [4 per cell]
Ru (0.029, 0.500, 0.330) [4 per cell]
Ru (0.189, 0.000, 0.622) [4 per cell]

Output
energy above the most stable polymorph in this dataset = 32 meV/atom
energy relative to the elements = 7.5 kcal/mol of atoms
density of states at the Fermi level = 1.0202 states/eV per atom
volume = 45.6 Å³/f.u.
magnetic moment = 0.00 μB/cell


Record 16
# AgRu2

An optimized crystal structure of AgRu2 (PBE, the Alexandria database).

a b c (Å): 2.779 2.779 11.920
angles (deg): 90.00 90.00 90.00
Space group I4/mmm (No. 139)
Inequivalent atoms, fractional coordinates:
Ag (0.000, 0.000, 0.000) [2 per cell]
Ru (0.000, 0.000, 0.319) [4 per cell]

Output
energy above the most stable polymorph in this dataset = 48 meV/atom
energy relative to the elements = 7.9 kcal/mol of atoms
density of states at the Fermi level = 0.9990 states/eV per atom
volume = 46.0 Å³/f.u.
magnetic moment = 0.00 μB/cell


Record 17
# Ag5Ru4

An optimized crystal structure of Ag5Ru4 (PBE, the Alexandria database).

a b c (Å): 8.710 8.710 3.845
angles (deg): 90.00 90.00 90.00
Space group I4/mmm (No. 139)
Inequivalent atoms, fractional coordinates:
Ag (0.000, 0.000, 0.000) [2 per cell]
Ag (0.169, 0.169, 0.500) [8 per cell]
Ru (0.000, 0.355, 0.000) [8 per cell]

Output
energy relative to the elements = 10.4 kcal/mol of atoms
density of states at the Fermi level = 0.9896 states/eV per atom
volume = 145.8 Å³/f.u.
magnetic moment = 0.00 μB/cell


Record 18
# AgRu

An optimized crystal structure of AgRu (PBE, the Alexandria database).

a b c (Å): 2.7647 2.7647 14.4516
angles (deg): 90.00 90.00 120.00
Space group R-3m (No. 166, hexagonal axes)
Inequivalent atoms, fractional coordinates:
Ag (0.0000, 0.0000, 0.0000) [3 per cell]
Ru (0.0000, 0.0000, 0.5000) [3 per cell]

Output
energy relative to the elements = 13.2 kcal/mol of atoms
density of states at the Fermi level = 1.1150 states/eV per atom
volume = 31.9 Å³/f.u.
magnetic moment = 4.12 μB/cell


Record 19
# AgRu

An optimized crystal structure of AgRu (PBE, the Alexandria database).

a b c (Å): 2.804 2.804 8.125
angles (deg): 90.00 90.00 90.00
Space group P4/nmm (No. 129, origin choice 2)
Inequivalent atoms, fractional coordinates:
Ag (0.250, 0.250, 0.135) [2 per cell]
Ru (0.250, 0.250, 0.599) [2 per cell]

Output
energy relative to the elements = 6.2 kcal/mol of atoms
density of states at the Fermi level = 0.7208 states/eV per atom
volume = 31.9 Å³/f.u.
magnetic moment = 0.00 μB/cell


Record 20
# Ag3Ru

An optimized crystal structure of Ag3Ru (PBE, the Alexandria database).

a b c (Å): 4.764 9.551 5.941
angles (deg): 90.00 90.00 90.00
Space group Pnma (No. 62)
Inequivalent atoms, fractional coordinates:
Ag (0.096, 0.250, 0.131) [4 per cell]
Ag (0.244, 0.003, 0.382) [8 per cell]
Ru (0.089, 0.250, 0.666) [4 per cell]

Output
energy relative to the elements = 8.5 kcal/mol of atoms
density of states at the Fermi level = 0.9019 states/eV per atom
volume = 67.6 Å³/f.u.
magnetic moment = 0.00 μB/cell


Record 21
# AgRu

An optimized crystal structure of AgRu (PBE, the Alexandria database).

a b c (Å): 4.5190 4.5190 5.3010
angles (deg): 90.00 90.00 120.00
Space group P6_3/mmc (No. 194)
Inequivalent atoms, fractional coordinates:
Ag (0.3333, 0.6667, 0.2500) [2 per cell]
Ru (0.3333, 0.6667, 0.7500) [2 per cell]

Output
energy relative to the elements = 43.1 kcal/mol of atoms
density of states at the Fermi level = 1.4315 states/eV per atom
volume = 46.9 Å³/f.u.
magnetic moment = 4.43 μB/cell


Record 22
# AgRu

An optimized crystal structure of AgRu (PBE, the Alexandria database).

a b c (Å): 4.031 4.031 7.685
angles (deg): 90.00 90.00 90.00
Space group I4_1/amd (No. 141, origin choice 2)
Inequivalent atoms, fractional coordinates:
Ag (0.000, 0.250, 0.375) [4 per cell]
Ru (0.000, 0.250, 0.875) [4 per cell]

Output
energy relative to the elements = 14.1 kcal/mol of atoms
density of states at the Fermi level = 1.2025 states/eV per atom
volume = 31.2 Å³/f.u.
magnetic moment = 0.80 μB/cell


Record 23
# AgRu

An optimized crystal structure of AgRu (PBE, the Alexandria database).

a b c (Å): 7.310 7.310 7.310
angles (deg): 90.00 90.00 90.00
Space group Pm-3n (No. 223)
Inequivalent atoms, fractional coordinates:
Ag (0.000, 0.250, 0.500) [6 per cell]
Ru (0.000, 0.500, 0.250) [6 per cell]

Output
energy relative to the elements = 51.7 kcal/mol of atoms
density of states at the Fermi level = 1.0717 states/eV per atom
volume = 65.1 Å³/f.u.
magnetic moment = 15.17 μB/cell


Record 24
# AgRu2

An optimized crystal structure of AgRu2 (PBE, the Alexandria database).

a b c (Å): 6.120 6.120 6.120
angles (deg): 90.00 90.00 90.00
Space group Pa-3 (No. 205)
Inequivalent atoms, fractional coordinates:
Ag (0.000, 0.000, 0.000) [4 per cell]
Ru (0.104, 0.604, 0.896) [8 per cell]

Output
energy above the most stable polymorph in this dataset = 1321 meV/atom
energy relative to the elements = 37.2 kcal/mol of atoms
density of states at the Fermi level = 2.0271 states/eV per atom
volume = 57.3 Å³/f.u.
magnetic moment = 0.01 μB/cell


Record 25
# Ag3Ru2

An optimized crystal structure of Ag3Ru2 (PBE, the Alexandria database).

a b c (Å): 2.7762 2.7762 36.1181
angles (deg): 90.00 90.00 120.00
Space group R-3m (No. 166, hexagonal axes)
Inequivalent atoms, fractional coordinates:
Ag (0.0000, 0.0000, 0.0000) [3 per cell]
Ag (0.0000, 0.0000, 0.2012) [6 per cell]
Ru (0.0000, 0.0000, 0.3995) [6 per cell]

Output
energy relative to the elements = 10.9 kcal/mol of atoms
density of states at the Fermi level = 0.9813 states/eV per atom
volume = 80.4 Å³/f.u.
magnetic moment = 1.98 μB/cell